# 1
Density functional theory data (PBE) for an optimized crystal structure of TiSiC2.

Calculated values
Its total magnetic moment is 0.00 Bohr magnetons per cell. Its uncorrected formation energy is -0.022 eV per atom. As for the crystal system: tetragonal. As for the density of states at the Fermi level: 0.000 states/eV/cell.

Geometry as CIF:
```
data_TiSiC2
_cell_length_a 4.637
_cell_length_b 4.637
_cell_length_c 8.826
_cell_angle_alpha 90.00
_cell_angle_beta 90.00
_cell_angle_gamma 90.00
_space_group_name_H-M_alt 'I -4 2 d'
_space_group_IT_number 122
_space_group_name_Hall 'I -4 2bw'
loop_
_atom_site_label
_atom_site_fract_x
_atom_site_fract_y
_atom_site_fract_z
_atom_site_occupancy
Ti1 0.000 0.000 0.000 1
Si1 0.000 0.000 0.500 1
C1 0.223 0.250 0.625 1
```

# 2
Density functional theory data (PBE) for an optimized crystal structure of Mg2RuBr.

Calculated values
Its total magnetic moment is 1.16 Bohr magnetons per cell. Its uncorrected formation energy is 0.017 eV per atom. As for the crystal system: monoclinic. As for the density of states at the Fermi level: 4.718 states/eV/cell.

Geometry as CIF:
```
data_Mg2RuBr
_cell_length_a 10.659
_cell_length_b 3.128
_cell_length_c 4.837
_cell_angle_alpha 90.00
_cell_angle_beta 104.48
_cell_angle_gamma 90.00
_space_group_name_H-M_alt 'C 1 m 1'
_space_group_IT_number 8
_space_group_name_Hall 'C -2y'
loop_
_atom_site_label
_atom_site_fract_x
_atom_site_fract_y
_atom_site_fract_z
_atom_site_occupancy
Mg1 0.000 0.000 0.000 1
Mg2 0.196 0.000 0.636 1
Ru1 0.473 0.000 0.519 1
Br1 0.286 0.500 0.219 1
```

# 3
Density functional theory data (PBE) for an optimized crystal structure of Li2TiRh2O6.

Calculated values
Its total magnetic moment is 0.00 Bohr magnetons per cell. Its uncorrected formation energy is -1.673 eV per atom. As for the crystal system: monoclinic.

Geometry as CIF:
```
data_Li2TiRh2O6
_cell_length_a 5.238
_cell_length_b 8.966
_cell_length_c 5.305
_cell_angle_alpha 90.00
_cell_angle_beta 110.78
_cell_angle_gamma 90.00
_space_group_name_H-M_alt 'C 1 2/m 1'
_space_group_IT_number 12
_space_group_name_Hall '-C 2y'
loop_
_atom_site_label
_atom_site_fract_x
_atom_site_fract_y
_atom_site_fract_z
_atom_site_occupancy
Li1 0.000 0.175 0.000 1
Ti1 0.000 0.000 0.500 1
Rh1 0.000 0.336 0.500 1
O1 0.229 0.000 0.274 1
O2 0.241 0.167 0.720 1
```

# 4
Density functional theory data (PBE) for an optimized crystal structure of TcPbW.

Calculated values
Its total magnetic moment is 0.00 Bohr magnetons per cell. Its formation energy is 0.89 eV per atom. As for the crystal system: trigonal. As for the density of states at the Fermi level: 2.647 states/eV/cell.

Geometry as CIF:
```
data_TcPbW
_cell_length_a 4.5971
_cell_length_b 4.5971
_cell_length_c 2.9499
_cell_angle_alpha 90.00
_cell_angle_beta 90.00
_cell_angle_gamma 120.00
_space_group_name_H-M_alt 'P 3 m 1'
_space_group_IT_number 156
_space_group_name_Hall 'P 3 -2"'
loop_
_atom_site_label
_atom_site_fract_x
_atom_site_fract_y
_atom_site_fract_z
_atom_site_occupancy
Tc1 0.0000 0.0000 0.0000 1
Pb1 0.3333 0.6667 0.9971 1
W1 0.6667 0.3333 0.4974 1
```

# 5
Density functional theory data (PBE) for an optimized crystal structure of Zn2FeTe.

Calculated values
Its total magnetic moment is 1.85 Bohr magnetons per cell. Its uncorrected formation energy is 0.278 eV per atom. As for the crystal system: tetragonal. As for the density of states at the Fermi level: 2.713 states/eV/cell.

Geometry as CIF:
```
data_Zn2FeTe
_cell_length_a 2.917
_cell_length_b 2.917
_cell_length_c 9.128
_cell_angle_alpha 90.00
_cell_angle_beta 90.00
_cell_angle_gamma 90.00
_space_group_name_H-M_alt 'P 4/m m m'
_space_group_IT_number 123
_space_group_name_Hall '-P 4 2'
loop_
_atom_site_label
_atom_site_fract_x
_atom_site_fract_y
_atom_site_fract_z
_atom_site_occupancy
Zn1 0.000 0.000 0.167 1
Fe1 0.500 0.500 0.000 1
Te1 0.500 0.500 0.500 1
```

# 6
Density functional theory data (PBE) for an optimized crystal structure of MgIBr2.

Calculated values
Its total magnetic moment is 0.00 Bohr magnetons per cell. Its uncorrected formation energy is -0.978 eV per atom. As for the crystal system: trigonal. As for the density of states at the Fermi level: 5.281 states/eV/cell.

Geometry as CIF:
```
data_MgIBr2
_cell_length_a 3.7330
_cell_length_b 3.7330
_cell_length_c 39.0129
_cell_angle_alpha 90.00
_cell_angle_beta 90.00
_cell_angle_gamma 120.00
_space_group_name_H-M_alt 'R -3 m'
_space_group_IT_number 166
_space_group_name_Hall '-R 3 2"'
loop_
_atom_site_label
_atom_site_fract_x
_atom_site_fract_y
_atom_site_fract_z
_atom_site_occupancy
Mg1 0.0000 0.0000 0.0000 1
I1 0.0000 0.0000 0.5000 1
Br1 0.0000 0.0000 0.3734 1
```

# 7
Density functional theory data (PBE) for an optimized crystal structure of Ca2DyPaAs4.

Calculated values
Its total magnetic moment is 0.00 Bohr magnetons per cell. Its formation energy is -1.28 eV per atom. As for the crystal system: monoclinic. As for the density of states at the Fermi level: 0.009 states/eV/cell.

Geometry as CIF:
```
data_Ca2DyPaAs4
_cell_length_a 7.208
_cell_length_b 4.209
_cell_length_c 7.256
_cell_angle_alpha 90.00
_cell_angle_beta 109.32
_cell_angle_gamma 90.00
_space_group_name_H-M_alt 'P 1 2/m 1'
_space_group_IT_number 10
_space_group_name_Hall '-P 2y'
loop_
_atom_site_label
_atom_site_fract_x
_atom_site_fract_y
_atom_site_fract_z
_atom_site_occupancy
Ca1 0.000 0.000 0.000 1
Ca2 0.500 0.500 0.000 1
Dy1 0.000 0.500 0.500 1
Pa1 0.500 0.000 0.500 1
As1 0.253 0.000 0.733 1
As2 0.262 0.500 0.269 1
```

# 8
Density functional theory data (PBE) for an optimized crystal structure of Si5Se.

Calculated values
Its total magnetic moment is 0.00 Bohr magnetons per cell. Its uncorrected formation energy is 0.354 eV per atom. As for the crystal system: orthorhombic. As for the density of states at the Fermi level: 2.618 states/eV/cell.

Geometry as CIF:
```
data_Si5Se
_cell_length_a 6.788
_cell_length_b 3.002
_cell_length_c 10.268
_cell_angle_alpha 90.00
_cell_angle_beta 90.00
_cell_angle_gamma 90.00
_space_group_name_H-M_alt 'A m m 2'
_space_group_IT_number 38
_space_group_name_Hall 'A 2 -2'
loop_
_atom_site_label
_atom_site_fract_x
_atom_site_fract_y
_atom_site_fract_z
_atom_site_occupancy
Si1 0.000 0.000 0.000 1
Si2 0.000 0.000 0.299 1
Si3 0.210 0.000 0.653 1
Si4 0.500 0.000 0.105 1
Se1 0.500 0.000 0.883 1
```

# 9
Density functional theory data (PBE) for an optimized crystal structure of Cs2KCdAg.

Calculated values
Its total magnetic moment is 0.00 Bohr magnetons per cell. Its formation energy is 0.06 eV per atom. As for the crystal system: tetragonal. As for the density of states at the Fermi level: 4.163 states/eV/cell.

Geometry as CIF:
```
data_Cs2KCdAg
_cell_length_a 7.177
_cell_length_b 7.177
_cell_length_c 5.649
_cell_angle_alpha 90.00
_cell_angle_beta 90.00
_cell_angle_gamma 90.00
_space_group_name_H-M_alt 'P 4/m m m'
_space_group_IT_number 123
_space_group_name_Hall '-P 4 2'
loop_
_atom_site_label
_atom_site_fract_x
_atom_site_fract_y
_atom_site_fract_z
_atom_site_occupancy
Cs1 0.000 0.500 0.000 1
K1 0.000 0.000 0.500 1
Cd1 0.500 0.500 0.500 1
Ag1 0.500 0.500 0.000 1
```

# 10
Density functional theory data (PBE) for an optimized crystal structure of KU2Ag2Se6.

Calculated values
Its total magnetic moment is 3.00 Bohr magnetons per cell. Its uncorrected formation energy is -0.856 eV per atom. As for the crystal system: triclinic. As for the density of states at the Fermi level: 9.523 states/eV/cell.

Geometry as CIF:
```
data_KU2Ag2Se6
_cell_length_a 7.348
_cell_length_b 7.411
_cell_length_c 7.887
_cell_angle_alpha 64.96
_cell_angle_beta 64.01
_cell_angle_gamma 63.13
_space_group_name_H-M_alt 'P -1'
_space_group_IT_number 2
_space_group_name_Hall '-P 1'
loop_
_atom_site_label
_atom_site_fract_x
_atom_site_fract_y
_atom_site_fract_z
_atom_site_occupancy
K1 0.000 0.000 0.000 1
U1 0.327 0.338 0.001 1
Ag1 0.449 0.787 0.617 1
Se1 0.086 0.683 0.768 1
Se2 0.291 0.568 0.225 1
Se3 0.467 0.059 0.769 1
```

# 11
Density functional theory data (PBE) for an optimized crystal structure of Sm8BiPb5.

Calculated values
Its total magnetic moment is 0.00 Bohr magnetons per cell. Its formation energy is -0.61 eV per atom. As for the crystal system: tetragonal. As for the density of states at the Fermi level: 15.748 states/eV/cell.

Geometry as CIF:
```
data_Sm8BiPb5
_cell_length_a 9.597
_cell_length_b 9.597
_cell_length_c 9.587
_cell_angle_alpha 90.00
_cell_angle_beta 90.00
_cell_angle_gamma 90.00
_space_group_name_H-M_alt 'I -4'
_space_group_IT_number 82
_space_group_name_Hall 'I -4'
loop_
_atom_site_label
_atom_site_fract_x
_atom_site_fract_y
_atom_site_fract_z
_atom_site_occupancy
Sm1 0.070 0.319 0.443 1
Sm2 0.071 0.178 0.805 1
Bi1 0.000 0.500 0.750 1
Pb1 0.000 0.000 0.500 1
Pb2 0.126 0.250 0.124 1
```

# 12
Density functional theory data (PBE) for an optimized crystal structure of PmDyAu2O8.

Calculated values
Its total magnetic moment is 0.00 Bohr magnetons per cell. Its uncorrected formation energy is -1.063 eV per atom. As for the crystal system: tetragonal. As for the density of states at the Fermi level: 13.460 states/eV/cell.

Geometry as CIF:
```
data_PmDyAu2O8
_cell_length_a 5.379
_cell_length_b 5.379
_cell_length_c 10.572
_cell_angle_alpha 90.00
_cell_angle_beta 90.00
_cell_angle_gamma 90.00
_space_group_name_H-M_alt 'I -4 m 2'
_space_group_IT_number 119
_space_group_name_Hall 'I -4 -2'
loop_
_atom_site_label
_atom_site_fract_x
_atom_site_fract_y
_atom_site_fract_z
_atom_site_occupancy
Pm1 0.000 0.000 0.000 1
Dy1 0.000 0.500 0.250 1
Au1 0.000 0.000 0.500 1
Au2 0.000 0.500 0.750 1
O1 0.229 0.244 0.627 1
```